# 1
Material: Re2OsPb
Method: DFT, SCAN
State: PBEsol geometry

Lattice parameters (Å, degrees): 9.3629 9.3629 9.3629 17.71 17.71 17.71
Closest atoms and distances in Å follow each position.
Atoms (fractional coordinates):
Re  0.0000  0.0000  0.0000  3 Os 2.65, 9 Re 2.67-2.88
Re  0.2579  0.2579  0.2579  9 Re 2.67-2.88
Os  0.7412  0.7412  0.7412  3 Re 2.65, 6 Os 2.88
Pb  0.4991  0.4991  0.4991  6 Pb 2.88, 3 Os 3.02, 3 Re 3.04

VASP energy, eV/atom: -71.741
Formation energy, eV/atom: 0.723

---

# 2
Material: OsRh2Pb
Method: DFT, SCAN
State: PBEsol geometry

Lattice parameters (Å, degrees): 2.8547 2.8547 7.8841 90.00 90.00 90.00
Closest atoms and distances in Å follow each position.
Atoms (fractional coordinates):
Os  0.0000  0.0000  0.0000  8 Rh 2.66, 4 Os 2.85
Rh  0.5000  0.5000  0.2202  4 Os 2.66, 4 Rh 2.85
Rh  0.5000  0.5000  0.7798  4 Os 2.66, 4 Rh 2.85
Pb  0.0000  0.0000  0.5000  4 Pb 2.85, 8 Rh 2.99

VASP energy, eV/atom: -53.434
Formation energy, eV/atom: 0.367

---

# 3
Material: OsPb3S
Method: DFT, SCAN
State: PBEsol geometry

Lattice parameters (Å, degrees): 5.2542 5.2542 5.2542 90.00 90.00 90.00
Closest atoms and distances in Å follow each position.
Atoms (fractional coordinates):
Os  0.0000  0.0000  0.0000  12 Pb 3.72
Pb  0.0000  0.5000  0.5000  2 S 2.63
Pb  0.5000  0.0000  0.5000  2 S 2.63
Pb  0.5000  0.5000  0.0000  2 S 2.63
S  0.5000  0.5000  0.5000  6 Pb 2.63

VASP energy, eV/atom: -60.423
E_form (uncorrected), eV per formula unit: 6.74

---

Question: Which value of VASP energy does entry 3 give?
Answer: -60.423 eV/atom